# 1
VASP calculation (PBE) on a relaxed GdDyErZn crystal.

## Properties
Magnetic moment = 30.56 Bohr magnetons per cell
Crystal system = cubic
V = 26.69 Å³ per atom
DFT formation energy = 29 meV per atom

a = 7.5302 Å, b = 7.5302 Å, c = 7.5302 Å
α = 90.00°, β = 90.00°, γ = 90.00°
Closest atoms and distances in Å follow each position.
Fractional positions:
Gd1 0.0000 0.0000 0.0000  4 Zn 3.26, 4 Er 3.26
Gd2 0.0000 0.5000 0.5000  4 Zn 3.26, 4 Er 3.26
Gd3 0.5000 0.0000 0.5000  4 Zn 3.26, 4 Er 3.26
Gd4 0.5000 0.5000 0.0000  4 Zn 3.26, 4 Er 3.26
Dy1 0.0000 0.0000 0.5000  4 Er 3.26, 4 Zn 3.26
Dy2 0.0000 0.5000 0.0000  4 Er 3.26, 4 Zn 3.26
Dy3 0.5000 0.0000 0.0000  4 Er 3.26, 4 Zn 3.26
Dy4 0.5000 0.5000 0.5000  4 Er 3.26, 4 Zn 3.26
Er1 0.2500 0.2500 0.7500  4 Gd 3.26, 4 Dy 3.26
Er2 0.2500 0.7500 0.2500  4 Gd 3.26, 4 Dy 3.26
Er3 0.7500 0.2500 0.2500  4 Gd 3.26, 4 Dy 3.26
Er4 0.7500 0.7500 0.7500  4 Gd 3.26, 4 Dy 3.26
Zn1 0.2500 0.2500 0.2500  4 Dy 3.26, 4 Gd 3.26
Zn2 0.2500 0.7500 0.7500  4 Gd 3.26, 4 Dy 3.26
Zn3 0.7500 0.2500 0.7500  4 Gd 3.26, 4 Dy 3.26
Zn4 0.7500 0.7500 0.2500  4 Gd 3.26, 4 Dy 3.26

# 2
VASP calculation (PBE) on a relaxed GdDyErZr crystal.

## Properties
Magnetic moment = 38.71 Bohr magnetons per cell
Crystal system = cubic
V = 29.30 Å³ per atom
DFT formation energy = 208 meV per atom

a = 7.7681 Å, b = 7.7681 Å, c = 7.7681 Å
α = 90.00°, β = 90.00°, γ = 90.00°
Closest atoms and distances in Å follow each position.
Fractional positions:
Gd1 0.0000 0.0000 0.0000  4 Dy 3.36, 4 Er 3.36
Gd2 0.0000 0.5000 0.5000  4 Dy 3.36, 4 Er 3.36
Gd3 0.5000 0.0000 0.5000  4 Dy 3.36, 4 Er 3.36
Gd4 0.5000 0.5000 0.0000  4 Dy 3.36, 4 Er 3.36
Dy1 0.2500 0.2500 0.2500  4 Zr 3.36, 4 Gd 3.36
Dy2 0.2500 0.7500 0.7500  4 Zr 3.36, 4 Gd 3.36
Dy3 0.7500 0.2500 0.7500  4 Zr 3.36, 4 Gd 3.36
Dy4 0.7500 0.7500 0.2500  4 Zr 3.36, 4 Gd 3.36
Er1 0.2500 0.2500 0.7500  4 Zr 3.36, 4 Gd 3.36
Er2 0.2500 0.7500 0.2500  4 Zr 3.36, 4 Gd 3.36
Er3 0.7500 0.2500 0.2500  4 Zr 3.36, 4 Gd 3.36
Er4 0.7500 0.7500 0.7500  4 Zr 3.36, 4 Gd 3.36
Zr1 0.0000 0.0000 0.5000  4 Dy 3.36, 4 Er 3.36
Zr2 0.0000 0.5000 0.0000  4 Dy 3.36, 4 Er 3.36
Zr3 0.5000 0.0000 0.0000  4 Dy 3.36, 4 Er 3.36
Zr4 0.5000 0.5000 0.5000  4 Er 3.36, 4 Dy 3.36

# 3
VASP calculation (PBE) on a relaxed Dy4Er3Ge4 crystal.

## Properties
Magnetic moment = 0.74 Bohr magnetons per cell
Crystal system = orthorhombic
V = 25.15 Å³ per atom
DFT formation energy = -597 meV per atom

a = 9.6400 Å, b = 9.6400 Å, c = 9.6400 Å
α = 157.31°, β = 126.41°, γ = 58.92°
Closest atoms and distances in Å follow each position.
Fractional positions:
Dy1 0.0117 0.8298 0.1819  4 Ge 2.94-2.99, 1 Dy 3.16
Dy2 0.3521 0.1702 0.1819  4 Ge 2.94-2.99, 1 Dy 3.16
Dy3 0.6479 0.8298 0.8181  4 Ge 2.94-2.99, 1 Dy 3.16
Dy4 0.9883 0.1702 0.8181  4 Ge 2.94-2.99, 1 Dy 3.16
Er1 0.0000 0.5000 0.5000  4 Ge 3.08
Er2 0.4022 0.4022 0.0000  6 Ge 2.90-3.16
Er3 0.5978 0.5978 0.0000  6 Ge 2.90-3.16
Ge1 0.2711 0.7711 0.5000  2 Er 2.90, 6 Dy 2.94-2.99
Ge2 0.2794 0.0000 0.2794  2 Dy 2.98, 6 Er 3.08-3.16
Ge3 0.7206 0.0000 0.7206  2 Dy 2.98, 6 Er 3.08-3.16
Ge4 0.7289 0.2289 0.5000  2 Er 2.90, 6 Dy 2.94-2.99

# 4
VASP calculation (PBE) on a relaxed Dy5ErGe4 crystal.

## Properties
Magnetic moment = 0.00 Bohr magnetons per cell
Crystal system = monoclinic
V = 25.81 Å³ per atom
DFT formation energy = -634 meV per atom

a = 8.0017 Å, b = 8.0017 Å, c = 6.8824 Å
α = 90.19°, β = 90.19°, γ = 35.86°
Closest atoms and distances in Å follow each position.
Fractional positions:
Dy1 0.0000 0.0000 0.0000  6 Ge 3.01-3.22
Dy2 0.3352 0.3352 0.0060  5 Ge 2.95-3.15
Dy3 0.3351 0.3351 0.4940  5 Ge 2.93-3.15
Dy4 0.6649 0.6649 0.5060  5 Ge 2.93-3.15
Dy5 0.6648 0.6648 0.9940  5 Ge 2.95-3.15
Er1 0.0000 0.0000 0.5000  6 Ge 3.00-3.21
Ge1 0.1784 0.1784 0.7494  7 Dy 2.96-3.22, 1 Er 3.21
Ge2 0.4900 0.4900 0.7483  6 Dy 2.93-3.15, 2 Er 3.00
Ge3 0.5100 0.5100 0.2517  6 Dy 2.93-3.15, 2 Er 3.00
Ge4 0.8216 0.8216 0.2506  7 Dy 2.96-3.22, 1 Er 3.21

# 5
VASP calculation (PBE) on a relaxed Dy5Er2Ge4 crystal.

## Properties
Magnetic moment = 0.00 Bohr magnetons per cell
Crystal system = monoclinic
V = 28.40 Å³ per atom
DFT formation energy = -265 meV per atom

a = 10.7923 Å, b = 10.7923 Å, c = 7.9131 Å
α = 96.80°, β = 96.80°, γ = 19.96°
Closest atoms and distances in Å follow each position.
Fractional positions:
Dy1 0.0000 0.0000 0.0000  4 Ge 2.94
Dy2 0.3410 0.3410 0.0283  3 Ge 2.94-3.24
Dy3 0.3965 0.3965 0.5785  4 Ge 2.85-3.11
Dy4 0.6035 0.6035 0.4215  4 Ge 2.85-3.11
Dy5 0.6590 0.6590 0.9717  3 Ge 2.94-3.24
Er1 0.2334 0.2334 0.6682  1 Ge 2.83
Er2 0.7666 0.7666 0.3318  1 Ge 2.83
Ge1 0.1031 0.1031 0.7091  2 Ge 2.52
Ge2 0.4749 0.4749 0.2712  2 Ge 2.52
Ge3 0.5251 0.5251 0.7288  2 Ge 2.52
Ge4 0.8969 0.8969 0.2909  2 Ge 2.52

# 6
VASP calculation (PBE) on a relaxed DyErHgGe crystal.

## Properties
Magnetic moment = 0.00 Bohr magnetons per cell
Crystal system = cubic
V = 23.88 Å³ per atom
DFT formation energy = -543 meV per atom

a = 7.2565 Å, b = 7.2565 Å, c = 7.2565 Å
α = 90.00°, β = 90.00°, γ = 90.00°
Closest atoms and distances in Å follow each position.
Fractional positions:
Dy1 0.0000 0.0000 0.0000  4 Hg 3.14, 4 Ge 3.14
Dy2 0.0000 0.5000 0.5000  4 Ge 3.14, 4 Hg 3.14
Dy3 0.5000 0.0000 0.5000  4 Ge 3.14, 4 Hg 3.14
Dy4 0.5000 0.5000 0.0000  4 Ge 3.14, 4 Hg 3.14
Er1 0.0000 0.0000 0.5000  4 Ge 3.14, 4 Hg 3.14
Er2 0.0000 0.5000 0.0000  4 Ge 3.14, 4 Hg 3.14
Er3 0.5000 0.0000 0.0000  4 Ge 3.14, 4 Hg 3.14
Er4 0.5000 0.5000 0.5000  4 Ge 3.14, 4 Hg 3.14
Hg1 0.2500 0.2500 0.7500  4 Dy 3.14, 4 Er 3.14
Hg2 0.2500 0.7500 0.2500  4 Dy 3.14, 4 Er 3.14
Hg3 0.7500 0.2500 0.2500  4 Dy 3.14, 4 Er 3.14
Hg4 0.7500 0.7500 0.7500  4 Dy 3.14, 4 Er 3.14
Ge1 0.2500 0.2500 0.2500  4 Dy 3.14, 4 Er 3.14
Ge2 0.2500 0.7500 0.7500  4 Er 3.14, 4 Dy 3.14
Ge3 0.7500 0.2500 0.7500  4 Er 3.14, 4 Dy 3.14
Ge4 0.7500 0.7500 0.2500  4 Er 3.14, 4 Dy 3.14

# 7
VASP calculation (PBE) on a relaxed LiDyErGe crystal.

## Properties
Magnetic moment = 0.00 Bohr magnetons per cell
Crystal system = cubic
V = 21.93 Å³ per atom
DFT formation energy = -403 meV per atom

a = 7.0535 Å, b = 7.0535 Å, c = 7.0535 Å
α = 90.00°, β = 90.00°, γ = 90.00°
Closest atoms and distances in Å follow each position.
Fractional positions:
Li1 0.0000 0.0000 0.0000  4 Er 3.05, 4 Dy 3.05
Li2 0.0000 0.5000 0.5000  4 Er 3.05, 4 Dy 3.05
Li3 0.5000 0.0000 0.5000  4 Er 3.05, 4 Dy 3.05
Li4 0.5000 0.5000 0.0000  4 Er 3.05, 4 Dy 3.05
Dy1 0.2500 0.2500 0.2500  4 Ge 3.05, 4 Li 3.05
Dy2 0.2500 0.7500 0.7500  4 Ge 3.05, 4 Li 3.05
Dy3 0.7500 0.2500 0.7500  4 Ge 3.05, 4 Li 3.05
Dy4 0.7500 0.7500 0.2500  4 Ge 3.05, 4 Li 3.05
Er1 0.2500 0.2500 0.7500  4 Ge 3.05, 4 Li 3.05
Er2 0.2500 0.7500 0.2500  4 Ge 3.05, 4 Li 3.05
Er3 0.7500 0.2500 0.2500  4 Ge 3.05, 4 Li 3.05
Er4 0.7500 0.7500 0.7500  4 Ge 3.05, 4 Li 3.05
Ge1 0.0000 0.0000 0.5000  4 Dy 3.05, 4 Er 3.05
Ge2 0.0000 0.5000 0.0000  4 Dy 3.05, 4 Er 3.05
Ge3 0.5000 0.0000 0.0000  4 Dy 3.05, 4 Er 3.05
Ge4 0.5000 0.5000 0.5000  4 Dy 3.05, 4 Er 3.05

# 8
VASP calculation (PBE) on a relaxed DyErNiGe crystal.

## Properties
Magnetic moment = 0.00 Bohr magnetons per cell
Crystal system = cubic
V = 20.81 Å³ per atom
DFT formation energy = -552 meV per atom

a = 6.9315 Å, b = 6.9315 Å, c = 6.9315 Å
α = 90.00°, β = 90.00°, γ = 90.00°
Closest atoms and distances in Å follow each position.
Fractional positions:
Dy1 0.0000 0.0000 0.0000  4 Ge 3.00, 4 Ni 3.00
Dy2 0.0000 0.5000 0.5000  4 Ge 3.00, 4 Ni 3.00
Dy3 0.5000 0.0000 0.5000  4 Ge 3.00, 4 Ni 3.00
Dy4 0.5000 0.5000 0.0000  4 Ge 3.00, 4 Ni 3.00
Er1 0.0000 0.0000 0.5000  4 Ge 3.00, 4 Ni 3.00
Er2 0.0000 0.5000 0.0000  4 Ge 3.00, 4 Ni 3.00
Er3 0.5000 0.0000 0.0000  4 Ge 3.00, 4 Ni 3.00
Er4 0.5000 0.5000 0.5000  4 Ge 3.00, 4 Ni 3.00
Ni1 0.2500 0.2500 0.2500  4 Er 3.00, 4 Dy 3.00
Ni2 0.2500 0.7500 0.7500  4 Dy 3.00, 4 Er 3.00
Ni3 0.7500 0.2500 0.7500  4 Dy 3.00, 4 Er 3.00
Ni4 0.7500 0.7500 0.2500  4 Dy 3.00, 4 Er 3.00
Ge1 0.2500 0.2500 0.7500  4 Dy 3.00, 4 Er 3.00
Ge2 0.2500 0.7500 0.2500  4 Dy 3.00, 4 Er 3.00
Ge3 0.7500 0.2500 0.2500  4 Dy 3.00, 4 Er 3.00
Ge4 0.7500 0.7500 0.7500  4 Dy 3.00, 4 Er 3.00

# 9
VASP calculation (PBE) on a relaxed DyErNi2Ge2 crystal.

## Properties
Magnetic moment = 0.00 Bohr magnetons per cell
Crystal system = trigonal
V = 18.10 Å³ per atom
DFT formation energy = -765 meV per atom

a = 4.2060 Å, b = 4.2060 Å, c = 7.0894 Å
α = 90.00°, β = 90.00°, γ = 120.00°
Closest atoms and distances in Å follow each position.
Fractional positions:
Dy1 0.0000 0.0000 0.0000  6 Ge 3.03, 6 Ni 3.05
Er1 0.0000 0.0000 0.5000  6 Ni 2.96, 6 Ge 2.98
Ni1 0.3333 0.6667 0.7390  3 Ge 2.43
Ni2 0.6667 0.3333 0.2610  3 Ge 2.43
Ge1 0.3333 0.6667 0.2558  3 Ni 2.43
Ge2 0.6667 0.3333 0.7442  3 Ni 2.43

# 10
VASP calculation (PBE) on a relaxed Dy4Er2Ge3O2 crystal.

## Properties
Magnetic moment = 0.00 Bohr magnetons per cell
Crystal system = tetragonal
Energy relative to the elements, uncorrected = -1.558 eV per atom
V = 21.97 Å³ per atom

a = 12.1593 Å, b = 12.1593 Å, c = 12.1593 Å
α = 158.49°, β = 158.49°, γ = 30.61°
Closest atoms and distances in Å follow each position.
Fractional positions:
Dy1 0.0810 0.5810 0.5000  2 O 2.32
Dy2 0.4190 0.9190 0.5000  2 O 2.32
Dy3 0.5810 0.0810 0.5000  2 O 2.32
Dy4 0.9190 0.4190 0.5000  2 O 2.32
Er1 0.1981 0.1981 0.0000  1 O 2.28
Er2 0.8019 0.8019 0.0000  1 O 2.28
Ge1 0.3232 0.3232 0.0000  5 Er 2.93-3.25, 4 Dy 3.19
Ge2 0.5000 0.5000 0.0000  8 Dy 2.96
Ge3 0.6768 0.6768 0.0000  5 Er 2.93-3.25, 4 Dy 3.19
O1 0.1009 0.1009 0.0000  1 Er 2.28, 4 Dy 2.32
O2 0.8991 0.8991 0.0000  1 Er 2.28, 4 Dy 2.32

# 11
VASP calculation (PBE) on a relaxed DyEr2Ge3Pt4 crystal.

## Properties
Magnetic moment = 0.00 Bohr magnetons per cell
Crystal system = tetragonal
V = 19.93 Å³ per atom
DFT formation energy = -923 meV per atom

a = 4.1615 Å, b = 4.1615 Å, c = 11.5060 Å
α = 90.00°, β = 90.00°, γ = 90.00°
Closest atoms and distances in Å follow each position.
Fractional positions:
Dy1 0.0000 0.0000 0.0000  4 Pt 2.79, 4 Ge 2.94
Er1 0.0000 0.5000 0.7213  4 Ge 3.13, 8 Pt 3.24-3.29
Er2 0.5000 0.0000 0.2787  4 Ge 3.13, 8 Pt 3.24-3.29
Ge1 0.0000 0.5000 0.3720  5 Pt 2.43-2.55
Ge2 0.5000 0.0000 0.6280  5 Pt 2.43-2.55
Ge3 0.5000 0.5000 0.0000  4 Pt 2.79, 4 Dy 2.94
Pt1 0.0000 0.0000 0.5000  4 Ge 2.55
Pt2 0.0000 0.5000 0.1611  1 Ge 2.43
Pt3 0.5000 0.0000 0.8389  1 Ge 2.43
Pt4 0.5000 0.5000 0.5000  4 Ge 2.55